No. 1
MgNpReO6 after structural relaxation, computed with PBE.

Cell and atoms, written as CIF:
```
data_MgNpReO6
_cell_length_a 5.280
_cell_length_b 5.280
_cell_length_c 8.937
_cell_angle_alpha 90.00
_cell_angle_beta 90.00
_cell_angle_gamma 120.00
_space_group_name_H-M_alt 'P 1'
_space_group_IT_number 1
loop_
_space_group_symop_operation_xyz
'x,y,z'
loop_
_atom_site_label
_atom_site_type_symbol
_atom_site_fract_x
_atom_site_fract_y
_atom_site_fract_z
Mg1 Mg 0.333 0.667 0.250
Mg2 Mg 0.667 0.333 0.750
Np1 Np 0.667 0.333 0.250
Np2 Np 0.333 0.667 0.750
Re1 Re 0.000 0.000 0.000
Re2 Re 0.000 0.000 0.500
O1 O 0.685 0.689 0.124
O2 O 0.003 0.315 0.124
O3 O 0.315 0.003 0.624
O4 O 0.997 0.685 0.876
O5 O 0.311 0.315 0.376
O6 O 0.003 0.689 0.376
O7 O 0.689 0.003 0.876
O8 O 0.685 0.997 0.376
O9 O 0.997 0.311 0.624
O10 O 0.311 0.997 0.124
O11 O 0.689 0.685 0.624
O12 O 0.315 0.311 0.876
```

## Properties
ΔE_f (raw) ... -2.21 eV per atom

---

No. 2
Mg2NpRhO8 after structural relaxation, computed with PBE.

Cell and atoms, written as CIF:
```
data_Mg2NpRhO8
_cell_length_a 4.782
_cell_length_b 4.780
_cell_length_c 6.271
_cell_angle_alpha 90.00
_cell_angle_beta 90.00
_cell_angle_gamma 92.73
_space_group_name_H-M_alt 'P 1'
_space_group_IT_number 1
loop_
_space_group_symop_operation_xyz
'x,y,z'
loop_
_atom_site_label
_atom_site_type_symbol
_atom_site_fract_x
_atom_site_fract_y
_atom_site_fract_z
Mg1 Mg 0.500 0.500 0.740
Mg2 Mg 0.500 0.500 0.260
Np1 Np 0.000 0.000 0.000
Rh1 Rh 0.000 0.000 0.500
O1 O 0.193 0.806 0.253
O2 O 0.703 0.704 0.000
O3 O 0.807 0.194 0.253
O4 O 0.807 0.194 0.747
O5 O 0.297 0.296 0.000
O6 O 0.193 0.806 0.747
O7 O 0.713 0.713 0.500
O8 O 0.287 0.287 0.500
```

## Properties
ΔE_f (raw) ... -1.98 eV per atom

---

> The lowest ΔE_f (raw) belongs to which entry?

MgNpReO6

---

> ΔE_f (raw) of number 1 (MgNpReO6)?

-2.21 eV per atom

---

> Which formula does entry 1 have?

MgNpReO6